[1]
The following is a DFT calculation (GGA-PBEsol) of an optimized crystal structure of YCuP2Cl.

Raw formation energy = -317 meV/atom

CIF file:
```
data_YCuP2Cl
_chemical_formula_sum 'Y1 Cu1 P2 Cl1'
_cell_length_a 4.3562
_cell_length_b 4.3562
_cell_length_c 4.9948
_cell_angle_alpha 90.00
_cell_angle_beta 90.00
_cell_angle_gamma 90.00
_space_group_name_H-M_alt 'P 4/m m m'
_space_group_IT_number 123
_space_group_name_Hall '-P 4 2'
loop_
_atom_site_label
_atom_site_type_symbol
_atom_site_fract_x
_atom_site_fract_y
_atom_site_fract_z
Y1 Y 0.0000 0.0000 0.0000
Cu1 Cu 0.5000 0.5000 0.5000
P1 P 0.0000 0.5000 0.5000
Cl1 Cl 0.5000 0.5000 0.0000
```

---

[2]
The following is a DFT calculation (GGA-PBEsol) of an optimized crystal structure of Tc3NO.

Raw formation energy = 1077 meV/atom

CIF file:
```
data_Tc3NO
_chemical_formula_sum 'Tc3 N1 O1'
_cell_length_a 3.9275
_cell_length_b 3.9275
_cell_length_c 3.9275
_cell_angle_alpha 90.00
_cell_angle_beta 90.00
_cell_angle_gamma 90.00
_space_group_name_H-M_alt 'P m -3 m'
_space_group_IT_number 221
_space_group_name_Hall '-P 4 2 3'
loop_
_atom_site_label
_atom_site_type_symbol
_atom_site_fract_x
_atom_site_fract_y
_atom_site_fract_z
Tc1 Tc 0.0000 0.0000 0.5000
N1 N 0.5000 0.5000 0.5000
O1 O 0.0000 0.0000 0.0000
```